1.
Density functional theory data (PBE-GGA) for crystalline GdTlAs at its relaxed geometry.

Properties
offset from the most stable computed form = 0 meV per atom

a b c (Å): 4.987 4.987 4.987
angles (deg): 60.00 60.00 60.00
Fractional positions:
As 0.250 0.250 0.250
Gd 0.000 0.000 0.000
Tl 0.750 0.750 0.750



2.
Density functional theory data (PBE-GGA) for crystalline GdTlAs at its relaxed geometry.

Properties
offset from the most stable computed form = 213 meV per atom

a b c (Å): 4.987 4.987 4.987
angles (deg): 60.00 60.00 60.00
Fractional positions:
As 0.250 0.250 0.250
Gd 0.750 0.750 0.750
Tl 0.000 0.000 0.000